Computed, not measured: a relaxed structure of La2Nd6Ho3Tm at the PBE level of DFT.

- ΔE_f (eV/atom) = 0.0191

a = 6.312 Å, b = 6.312 Å, c = 12.018 Å
α = 95.04°, β = 95.04°, γ = 120.02°
Sites, in units of the cell vectors:
Nd: 0.416 0.085 0.254
Nd: 0.584 0.915 0.746
Nd: 0.753 0.753 0.255
Nd: 0.915 0.584 0.746
Nd: 0.247 0.247 0.745
Nd: 0.085 0.416 0.254
La: 0.667 0.333 0.000
La: 0.333 0.667 0.000
Ho: 0.166 0.834 0.500
Ho: 0.834 0.166 0.500
Ho: 0.500 0.500 0.500
Tm: 0.000 0.000 0.000

***

Computed, not measured: a relaxed structure of LaNd2Ho2Tm at the PBE level of DFT.

- ΔE_f (eV/atom) = 0.0778

a = 5.673 Å, b = 7.003 Å, c = 10.066 Å
α = 90.00°, β = 90.00°, γ = 90.00°
Sites, in units of the cell vectors:
Nd: 0.000 0.794 0.807
Nd: 0.000 0.294 0.193
Nd: 0.500 0.034 0.015
Nd: 0.500 0.534 0.985
Ho: 0.500 0.229 0.357
Ho: 0.000 0.789 0.141
Ho: 0.500 0.729 0.643
Ho: 0.000 0.289 0.859
Tm: 0.000 0.481 0.517
Tm: 0.000 0.981 0.483
La: 0.500 0.220 0.679
La: 0.500 0.720 0.321

***

Computed, not measured: a relaxed structure of LaNd6Ho2Tm at the PBE level of DFT.

- ΔE_f (eV/atom) = 0.1143

a = 9.684 Å, b = 8.961 Å, c = 8.961 Å
α = 116.86°, β = 93.39°, γ = 93.39°
Sites, in units of the cell vectors:
La: 0.750 0.030 0.970
La: 0.250 0.970 0.030
Ho: 0.050 0.302 0.203
Ho: 0.950 0.698 0.797
Ho: 0.550 0.203 0.302
Ho: 0.450 0.797 0.698
Tm: 0.250 0.411 0.589
Tm: 0.750 0.589 0.411
Nd: 0.185 0.559 0.006
Nd: 0.617 0.486 0.705
Nd: 0.315 0.994 0.441
Nd: 0.685 0.006 0.559
Nd: 0.883 0.295 0.514
Nd: 0.444 0.242 0.883
Nd: 0.383 0.514 0.295
Nd: 0.944 0.883 0.242
Nd: 0.117 0.705 0.486
Nd: 0.556 0.758 0.117
Nd: 0.056 0.117 0.758
Nd: 0.815 0.441 0.994

***

Computed, not measured: a relaxed structure of La3Nd6Ho2Tm at the PBE level of DFT.

- ΔE_f (eV/atom) = 0.0210

a = 6.344 Å, b = 6.344 Å, c = 12.089 Å
α = 95.03°, β = 95.03°, γ = 120.05°
Sites, in units of the cell vectors:
La: 0.833 0.167 0.500
La: 0.167 0.833 0.500
La: 0.500 0.500 0.500
Tm: 0.000 0.000 0.000
Nd: 0.414 0.081 0.243
Nd: 0.919 0.586 0.757
Nd: 0.252 0.252 0.757
Nd: 0.081 0.414 0.243
Nd: 0.586 0.919 0.757
Nd: 0.748 0.748 0.243
Ho: 0.333 0.667 0.000
Ho: 0.667 0.333 0.000

***

Computed, not measured: a relaxed structure of La2Nd2HoTm at the PBE level of DFT.

- ΔE_f (eV/atom) = 0.0565

a = 5.746 Å, b = 7.120 Å, c = 9.978 Å
α = 90.00°, β = 90.00°, γ = 90.00°
Sites, in units of the cell vectors:
Tm: 0.500 0.758 0.343
Tm: 0.500 0.258 0.657
Nd: 0.500 0.258 0.332
Nd: 0.000 0.257 0.834
Nd: 0.000 0.757 0.166
Nd: 0.500 0.758 0.668
La: 0.500 0.507 0.000
La: 0.000 0.258 0.177
La: 0.500 0.007 0.000
La: 0.000 0.758 0.823
Ho: 0.000 0.008 0.500
Ho: 0.000 0.508 0.500

***

Computed, not measured: a relaxed structure of LaNdHo3Tm at the PBE level of DFT.

- ΔE_f (eV/atom) = 0.1084

a = 5.872 Å, b = 6.428 Å, c = 11.742 Å
α = 90.00°, β = 90.00°, γ = 117.18°
Sites, in units of the cell vectors:
Ho: 0.324 0.649 0.003
Ho: 0.324 0.649 0.497
Ho: 0.175 0.349 0.750
Ho: 0.676 0.351 0.503
Ho: 0.825 0.651 0.250
Ho: 0.676 0.351 0.997
La: 0.496 0.992 0.750
La: 0.504 0.008 0.250
Tm: 0.829 0.658 0.750
Tm: 0.171 0.342 0.250
Nd: 0.000 0.000 0.000
Nd: 0.000 0.000 0.500

***

Computed, not measured: a relaxed structure of La2Nd6HoTm3 at the PBE level of DFT.

- ΔE_f (eV/atom) = 0.0215

a = 6.307 Å, b = 6.307 Å, c = 11.975 Å
α = 95.04°, β = 95.04°, γ = 120.03°
Sites, in units of the cell vectors:
Nd: 0.417 0.085 0.256
Nd: 0.583 0.915 0.744
Nd: 0.915 0.583 0.744
Nd: 0.753 0.753 0.256
Nd: 0.085 0.417 0.256
Nd: 0.247 0.247 0.744
La: 0.333 0.667 0.000
La: 0.667 0.333 0.000
Tm: 0.166 0.834 0.500
Tm: 0.500 0.500 0.500
Tm: 0.834 0.166 0.500
Ho: 0.000 0.000 0.000

***

Computed, not measured: a relaxed structure of LaNdHo2Tm5 at the PBE level of DFT.

- ΔE_f (eV/atom) = 0.2761

a = 8.807 Å, b = 8.807 Å, c = 9.736 Å
α = 116.89°, β = 116.89°, γ = 90.00°
Sites, in units of the cell vectors:
La: 0.250 0.250 0.500
La: 0.750 0.750 0.500
Tm: 0.427 0.334 0.261
Tm: 0.573 0.666 0.739
Tm: 0.666 0.166 0.739
Tm: 0.166 0.073 0.739
Tm: 0.500 0.500 0.000
Tm: 0.334 0.834 0.261
Tm: 0.000 0.000 0.000
Tm: 0.927 0.427 0.261
Tm: 0.834 0.927 0.261
Tm: 0.073 0.573 0.739
Ho: 0.115 0.385 0.000
Ho: 0.615 0.115 0.000
Ho: 0.885 0.615 0.000
Ho: 0.385 0.885 0.000
Nd: 0.250 0.750 0.500
Nd: 0.750 0.250 0.500

***

Computed, not measured: a relaxed structure of LaNdHoTm at the PBE level of DFT.

- ΔE_f (eV/atom) = 0.0904

a = 5.755 Å, b = 5.755 Å, c = 5.755 Å
α = 60.00°, β = 60.00°, γ = 60.00°
Sites, in units of the cell vectors:
Ho: 0.000 0.000 0.000
La: 0.250 0.250 0.250
Nd: 0.750 0.750 0.750
Tm: 0.500 0.500 0.500

***

Computed, not measured: a relaxed structure of LaNd2HoTm5 at the PBE level of DFT.

- ΔE_f (eV/atom) = 0.2599

a = 8.717 Å, b = 8.717 Å, c = 9.857 Å
α = 116.24°, β = 116.24°, γ = 90.00°
Sites, in units of the cell vectors:
Nd: 0.617 0.117 0.000
Nd: 0.883 0.617 0.000
Nd: 0.383 0.883 0.000
Nd: 0.117 0.383 0.000
Tm: 0.347 0.847 0.274
Tm: 0.000 0.000 0.000
Tm: 0.653 0.153 0.726
Tm: 0.500 0.500 0.000
Tm: 0.427 0.347 0.274
Tm: 0.153 0.073 0.726
Tm: 0.847 0.927 0.274
Tm: 0.927 0.427 0.274
Tm: 0.573 0.653 0.726
Tm: 0.073 0.573 0.726
La: 0.250 0.250 0.500
La: 0.750 0.750 0.500
Ho: 0.750 0.250 0.500
Ho: 0.250 0.750 0.500

***

Computed, not measured: a relaxed structure of La2NdHoTm2 at the PBE level of DFT.

- ΔE_f (eV/atom) = 0.0706

a = 5.645 Å, b = 6.889 Å, c = 10.358 Å
α = 90.00°, β = 90.00°, γ = 90.00°
Sites, in units of the cell vectors:
Ho: 0.000 0.449 0.531
Ho: 0.000 0.949 0.469
Tm: 0.000 0.316 0.870
Tm: 0.500 0.201 0.378
Tm: 0.000 0.816 0.130
Tm: 0.500 0.701 0.622
Nd: 0.500 0.196 0.694
Nd: 0.500 0.696 0.306
La: 0.500 0.059 0.027
La: 0.000 0.324 0.205
La: 0.500 0.559 0.973
La: 0.000 0.824 0.795

***

Computed, not measured: a relaxed structure of La6NdHoTm2 at the PBE level of DFT.

- ΔE_f (eV/atom) = 0.1927

a = 8.948 Å, b = 7.163 Å, c = 6.716 Å
α = 122.23°, β = 101.06°, γ = 90.00°
Sites, in units of the cell vectors:
Ho: 0.000 0.500 0.000
La: 0.808 0.960 0.362
La: 0.192 0.040 0.638
La: 0.561 0.359 0.718
La: 0.808 0.402 0.362
La: 0.439 0.641 0.282
La: 0.192 0.598 0.638
Nd: 0.500 0.000 0.000
Tm: 0.161 0.089 0.178
Tm: 0.839 0.911 0.822

***

| no. | calculated volume (Å³/atom) |
| --- | --- |
| 1 | 34.015 |
| 2 | 33.326 |
| 3 | 34.463 |
| 4 | 34.556 |
| 5 | 34.013 |
| 6 | 32.858 |
| 7 | 33.832 |
| 8 | 32.247 |
| 9 | 33.686 |
| 10 | 32.470 |
| 11 | 33.566 |
| 12 | 35.466 |